Record 1
The following is a DFT calculation (GGA-PBE) of crystalline Pm2HoTm9 at its relaxed geometry.

a b c (Å): 11.1218 11.1218 3.4722
angles (deg): 90.00 90.00 120.00
Fractional positions:
Pm  0.3333  0.6667  0.0000
Pm  0.6667  0.3333  0.0000
Ho  0.0000  0.0000  0.0000
Tm  0.0000  0.5000  0.0000
Tm  0.1747  0.3493  0.5000
Tm  0.1747  0.8253  0.5000
Tm  0.3493  0.1747  0.5000
Tm  0.5000  0.0000  0.0000
Tm  0.5000  0.5000  0.0000
Tm  0.6507  0.8253  0.5000
Tm  0.8253  0.1747  0.5000
Tm  0.8253  0.6507  0.5000

E above lowest polymorph = 0.0 meV/atom
Crystal system = hexagonal
Space-group type = P6/mmm, No. 191
V = 372 Å³ per cell
Formation energy = 84 kJ/mol of formula units


Record 2
The following is a DFT calculation (GGA-PBE) of crystalline PmHoTm2 at its relaxed geometry.

a b c (Å): 3.5398 3.5398 9.9958
angles (deg): 90.00 90.00 90.00
Fractional positions:
Pm  0.0000  0.0000  0.0000
Ho  0.0000  0.0000  0.5000
Tm  0.5000  0.5000  0.2539
Tm  0.5000  0.5000  0.7461

E above lowest polymorph = 13.4 meV/atom
Crystal system = tetragonal
Space-group type = P4/mmm, No. 123
V = 125 Å³ per cell
Formation energy = 10 kJ/mol of formula units


Record 3
The following is a DFT calculation (GGA-PBE) of crystalline PmHo4Tm5 at its relaxed geometry.

a b c (Å): 7.8031 7.8031 7.8031
angles (deg): 99.24 99.24 132.77
Fractional positions:
Pm  0.0000  0.0000  0.0000
Ho  0.1789  0.8805  0.6005
Ho  0.2801  0.5784  0.3995
Ho  0.5784  0.1789  0.2983
Ho  0.8805  0.2801  0.7017
Tm  0.4572  0.4572  0.0000
Tm  0.4923  0.8692  0.9097
Tm  0.5826  0.4923  0.6231
Tm  0.8692  0.9595  0.3769
Tm  0.9595  0.5826  0.0903

E above lowest polymorph = 247.4 meV/atom
Crystal system = tetragonal
Space-group type = I4, No. 79
V = 320 Å³ per cell
Formation energy = 298 kJ/mol of formula units